<a>
DFT (PBE) results for an optimized crystal structure of TcAgRu.

```
data_TcAgRu
_chemical_formula_sum 'Tc4 Ag4 Ru4'
_symmetry_space_group_name_H-M 'F -4 3 m'
_symmetry_Int_Tables_number 216
_symmetry_space_group_name_Hall 'F -4 2 3'
_cell_length_a 6.001
_cell_length_b 6.001
_cell_length_c 6.001
_cell_angle_alpha 90.00
_cell_angle_beta 90.00
_cell_angle_gamma 90.00
loop_
_atom_site_label
_atom_site_type_symbol
_atom_site_fract_x
_atom_site_fract_y
_atom_site_fract_z
_atom_site_occupancy
Tc1 Tc 0.000 0.000 0.000 1
Ag1 Ag 0.000 0.000 0.500 1
Ru1 Ru 0.250 0.250 0.250 1
```

Properties
Its density of states at the Fermi level is 16.86 states/eV/cell. As for the size of the total moment: 0.0 μB/f.u.


<b>
DFT (PBE) results for an optimized crystal structure of TcAgRu.

```
data_TcAgRu
_chemical_formula_sum 'Tc1 Ag1 Ru1'
_symmetry_space_group_name_H-M 'P 3 m 1'
_symmetry_Int_Tables_number 156
_cell_length_a 2.7716
_cell_length_b 2.7716
_cell_length_c 7.0041
_cell_angle_alpha 90.00
_cell_angle_beta 90.00
_cell_angle_gamma 120.00
loop_
_symmetry_equiv_pos_as_xyz
'x,y,z'
'-y,x-y,z'
'-x+y,-x,z'
'-y,-x,z'
'-x+y,y,z'
'x,x-y,z'
loop_
_atom_site_label
_atom_site_type_symbol
_atom_site_fract_x
_atom_site_fract_y
_atom_site_fract_z
_atom_site_occupancy
Tc1 Tc 0.0000 0.0000 0.0000 1
Ag1 Ag 0.3333 0.6667 0.3588 1
Ru1 Ru 0.6667 0.3333 0.7148 1
```

Properties
Its density of states at the Fermi level is 2.35 states/eV/cell. As for the size of the total moment: 0.0 μB/f.u.


Least stable of them? <a>.


<a>
DFT (PBE) results for an optimized crystal structure of Tc2AgRu2.

```
data_Tc2AgRu2
_chemical_formula_sum 'Tc4 Ag2 Ru4'
_symmetry_space_group_name_H-M 'P 4/m b m'
_symmetry_Int_Tables_number 127
_symmetry_space_group_name_Hall '-P 4 2ab'
_cell_length_a 7.535
_cell_length_b 7.535
_cell_length_c 2.744
_cell_angle_alpha 90.00
_cell_angle_beta 90.00
_cell_angle_gamma 90.00
loop_
_atom_site_label
_atom_site_type_symbol
_atom_site_fract_x
_atom_site_fract_y
_atom_site_fract_z
_atom_site_occupancy
Tc1 Tc 0.166 0.334 0.000 1
Ag1 Ag 0.000 0.000 0.500 1
Ru1 Ru 0.125 0.625 0.500 1
```

Properties
Its density of states at the Fermi level is 8.04 states/eV/cell. As for the size of the total moment: 0.0 μB/f.u.


<b>
DFT (PBE) results for an optimized crystal structure of Tc2AgRu2.

```
data_Tc2AgRu2
_chemical_formula_sum 'Tc4 Ag2 Ru4'
_symmetry_space_group_name_H-M 'P 4/m b m'
_symmetry_Int_Tables_number 127
_symmetry_space_group_name_Hall '-P 4 2ab'
_cell_length_a 7.568
_cell_length_b 7.568
_cell_length_c 2.739
_cell_angle_alpha 90.00
_cell_angle_beta 90.00
_cell_angle_gamma 90.00
loop_
_atom_site_label
_atom_site_type_symbol
_atom_site_fract_x
_atom_site_fract_y
_atom_site_fract_z
_atom_site_occupancy
Tc1 Tc 0.121 0.379 0.000 1
Ag1 Ag 0.000 0.000 0.000 1
Ru1 Ru 0.167 0.667 0.500 1
```

Properties
Its density of states at the Fermi level is 8.01 states/eV/cell. As for the size of the total moment: 0.0 μB/f.u.


Least stable of them? <b>.


<a>
DFT (PBE) results for an optimized crystal structure of AgTeRu.

```
data_AgTeRu
_chemical_formula_sum 'Ag4 Te4 Ru4'
_symmetry_space_group_name_H-M 'F -4 3 m'
_symmetry_Int_Tables_number 216
_symmetry_space_group_name_Hall 'F -4 2 3'
_cell_length_a 6.285
_cell_length_b 6.285
_cell_length_c 6.285
_cell_angle_alpha 90.00
_cell_angle_beta 90.00
_cell_angle_gamma 90.00
loop_
_atom_site_label
_atom_site_type_symbol
_atom_site_fract_x
_atom_site_fract_y
_atom_site_fract_z
_atom_site_occupancy
Ag1 Ag 0.000 0.000 0.000 1
Te1 Te 0.000 0.000 0.500 1
Ru1 Ru 0.250 0.250 0.750 1
```

Properties
Its density of states at the Fermi level is 12.37 states/eV/cell. As for the size of the total moment: 0.0 μB/f.u.


<b>
DFT (PBE) results for an optimized crystal structure of AgTeRu.

```
data_AgTeRu
_chemical_formula_sum 'Ag2 Te2 Ru2'
_symmetry_space_group_name_H-M 'I 4 m m'
_symmetry_Int_Tables_number 107
_symmetry_space_group_name_Hall 'I 4 -2'
_cell_length_a 3.226
_cell_length_b 3.226
_cell_length_c 11.547
_cell_angle_alpha 90.00
_cell_angle_beta 90.00
_cell_angle_gamma 90.00
loop_
_atom_site_label
_atom_site_type_symbol
_atom_site_fract_x
_atom_site_fract_y
_atom_site_fract_z
_atom_site_occupancy
Ag1 Ag 0.000 0.000 0.000 1
Te1 Te 0.000 0.000 0.720 1
Ru1 Ru 0.000 0.000 0.337 1
```

Properties
Its density of states at the Fermi level is 3.25 states/eV/cell. As for the size of the total moment: 0.0 μB/f.u.


<c>
DFT (PBE) results for an optimized crystal structure of AgTeRu.

```
data_AgTeRu
_chemical_formula_sum 'Ag1 Te1 Ru1'
_symmetry_space_group_name_H-M 'P 3 m 1'
_symmetry_Int_Tables_number 156
_cell_length_a 3.2371
_cell_length_b 3.2371
_cell_length_c 6.8190
_cell_angle_alpha 90.00
_cell_angle_beta 90.00
_cell_angle_gamma 120.00
loop_
_symmetry_equiv_pos_as_xyz
'x,y,z'
'-y,x-y,z'
'-x+y,-x,z'
'-y,-x,z'
'-x+y,y,z'
'x,x-y,z'
loop_
_atom_site_label
_atom_site_type_symbol
_atom_site_fract_x
_atom_site_fract_y
_atom_site_fract_z
_atom_site_occupancy
Ag1 Ag 0.0000 0.0000 0.0000 1
Te1 Te 0.3333 0.6667 0.5825 1
Ru1 Ru 0.6667 0.3333 0.3207 1
```

Properties
Its density of states at the Fermi level is 2.05 states/eV/cell. As for the size of the total moment: 0.0 μB/f.u.


<d>
DFT (PBE) results for an optimized crystal structure of AgTeRu.

```
data_AgTeRu
_chemical_formula_sum 'Ag1 Te1 Ru1'
_symmetry_space_group_name_H-M 'P -6 m 2'
_symmetry_Int_Tables_number 187
_symmetry_space_group_name_Hall 'P -6 2'
_cell_length_a 4.4012
_cell_length_b 4.4012
_cell_length_c 3.5239
_cell_angle_alpha 90.00
_cell_angle_beta 90.00
_cell_angle_gamma 120.00
loop_
_atom_site_label
_atom_site_type_symbol
_atom_site_fract_x
_atom_site_fract_y
_atom_site_fract_z
_atom_site_occupancy
Ag1 Ag 0.0000 0.0000 0.0000 1
Te1 Te 0.3333 0.6667 0.5000 1
Ru1 Ru 0.6667 0.3333 0.5000 1
```

Properties
Its density of states at the Fermi level is 1.58 states/eV/cell. As for the size of the total moment: 0.0 μB/f.u.


Least stable of them? <d>.